Entry 1:
# SmSn2PbSe4

Crystalline SmSn2PbSe4 at its relaxed geometry (GGA-PBE, Alexandria via LeMat-Bulk).

Calculated values
- Uncorrected energy: -4.559 eV per atom
- N(E_F): 3.84 states/eV/cell

a b c (Å): 7.327 4.298 7.712
angles (deg): 90.00 109.18 90.00
Space group P2/m (No. 10)
One atom of each set of equivalent atoms:
Sm1 0.000 0.000 0.000 [1 per cell]
Sn1 0.500 0.000 0.500 [1 per cell]
Sn2 0.500 0.500 0.000 [1 per cell]
Pb1 0.000 0.500 0.500 [1 per cell]
Se1 0.245 0.500 0.235 [2 per cell]
Se2 0.250 0.000 0.765 [2 per cell]

Entry 2:
# SmSnPb2Se5

Crystalline SmSnPb2Se5 at its relaxed geometry (GGA-PBE, Alexandria via LeMat-Bulk).

Calculated values
- Uncorrected energy: -4.535 eV per atom
- N(E_F): 10.52 states/eV/cell

a b c (Å): 4.301 18.573 13.340
angles (deg): 90.00 90.00 90.00
Space group Cmc2_1 (No. 36)
One atom of each set of equivalent atoms:
Sm1 0.000 0.213 0.000 [4 per cell]
Sn1 0.000 0.459 0.432 [4 per cell]
Pb1 0.000 0.124 0.649 [4 per cell]
Pb2 0.000 0.128 0.279 [4 per cell]
Se1 0.000 0.054 0.058 [4 per cell]
Se2 0.000 0.282 0.651 [4 per cell]
Se3 0.000 0.321 0.356 [4 per cell]
Se4 0.000 0.368 0.996 [4 per cell]
Se5 0.000 0.483 0.748 [4 per cell]

Entry 3:
# Sm6SnPb2Se3

Crystalline Sm6SnPb2Se3 at its relaxed geometry (GGA-PBE, Alexandria via LeMat-Bulk).

Calculated values
- Uncorrected energy: -5.378 eV per atom
- N(E_F): 9.40 states/eV/cell

a b c (Å): 19.044 4.336 8.754
angles (deg): 90.00 104.34 90.00
Space group C2/m (No. 12)
One atom of each set of equivalent atoms:
Sm1 0.003 0.000 0.247 [4 per cell]
Sm2 0.163 0.500 0.091 [4 per cell]
Sm3 0.168 0.500 0.575 [4 per cell]
Sn1 0.000 0.500 0.500 [2 per cell]
Pb1 0.167 0.000 0.834 [4 per cell]
Se1 0.000 0.500 0.000 [2 per cell]
Se2 0.167 0.000 0.334 [4 per cell]

Entry 4:
# SrSmPb2Se4

Crystalline SrSmPb2Se4 at its relaxed geometry (GGA-PBE, Alexandria via LeMat-Bulk).

Calculated values
- Uncorrected energy: -4.654 eV per atom
- N(E_F): 3.99 states/eV/cell

a b c (Å): 7.416 4.397 7.831
angles (deg): 90.00 109.98 90.00
Space group P2/m (No. 10)
One atom of each set of equivalent atoms:
Sr1 0.000 0.000 0.000 [1 per cell]
Sm1 0.000 0.500 0.500 [1 per cell]
Pb1 0.500 0.000 0.500 [1 per cell]
Pb2 0.500 0.500 0.000 [1 per cell]
Se1 0.238 0.000 0.732 [2 per cell]
Se2 0.241 0.500 0.262 [2 per cell]

Entry 5:
# Sm6Te3PbSe2

Crystalline Sm6Te3PbSe2 at its relaxed geometry (GGA-PBE, Alexandria via LeMat-Bulk).

Calculated values
- Uncorrected energy: -5.442 eV per atom
- N(E_F): 8.46 states/eV/cell

a b c (Å): 19.179 4.353 8.798
angles (deg): 90.00 104.30 90.00
Space group C2/m (No. 12)
One atom of each set of equivalent atoms:
Sm1 0.009 0.000 0.251 [4 per cell]
Sm2 0.167 0.500 0.106 [4 per cell]
Sm3 0.175 0.500 0.568 [4 per cell]
Te1 0.000 0.500 0.500 [2 per cell]
Te2 0.164 0.000 0.832 [4 per cell]
Pb1 0.000 0.500 0.000 [2 per cell]
Se1 0.168 0.000 0.335 [4 per cell]

Entry 6:
# Sm4TePb2Se

Crystalline Sm4TePb2Se at its relaxed geometry (GGA-PBE, Alexandria via LeMat-Bulk).

Calculated values
- Uncorrected energy: -5.183 eV per atom
- N(E_F): 3.10 states/eV/cell

a b c (Å): 7.691 4.412 7.698
angles (deg): 90.00 109.24 90.00
Space group P2/m (No. 10)
One atom of each set of equivalent atoms:
Sm1 0.241 0.000 0.244 [2 per cell]
Sm2 0.243 0.500 0.750 [2 per cell]
Te1 0.500 0.000 0.000 [1 per cell]
Pb1 0.000 0.000 0.500 [1 per cell]
Pb2 0.500 0.500 0.500 [1 per cell]
Se1 0.000 0.500 0.000 [1 per cell]

Entry 7:
# Sm4Te2PbSe

Crystalline Sm4Te2PbSe at its relaxed geometry (GGA-PBE, Alexandria via LeMat-Bulk).

Calculated values
- Uncorrected energy: -5.351 eV per atom
- N(E_F): 3.46 states/eV/cell

a b c (Å): 7.598 4.403 7.688
angles (deg): 90.00 109.42 90.00
Space group P2/m (No. 10)
One atom of each set of equivalent atoms:
Sm1 0.235 0.000 0.230 [2 per cell]
Sm2 0.247 0.500 0.761 [2 per cell]
Te1 0.000 0.000 0.500 [1 per cell]
Te2 0.500 0.500 0.500 [1 per cell]
Pb1 0.500 0.000 0.000 [1 per cell]
Se1 0.000 0.500 0.000 [1 per cell]

Entry 8:
# Sm8Te4PbSe3

Crystalline Sm8Te4PbSe3 at its relaxed geometry (GGA-PBE, Alexandria via LeMat-Bulk).

Calculated values
- Uncorrected energy: -5.489 eV per atom
- N(E_F): 18.73 states/eV/cell

a b c (Å): 8.6643 8.6643 21.6758
angles (deg): 90.00 90.00 120.00
Space group R-3m (No. 166, hexagonal axes)
One atom of each set of equivalent atoms:
Sm1 0.0000 0.0000 0.2390 [6 per cell]
Sm2 0.0107 0.5053 0.7574 [18 per cell]
Te1 0.0000 0.0000 0.0000 [3 per cell]
Te2 0.0000 0.5000 0.0000 [9 per cell]
Pb1 0.0000 0.0000 0.5000 [3 per cell]
Se1 0.0000 0.5000 0.5000 [9 per cell]

Entry 9:
# Sm6TePb2Se3

Crystalline Sm6TePb2Se3 at its relaxed geometry (GGA-PBE, Alexandria via LeMat-Bulk).

Calculated values
- Uncorrected energy: -5.433 eV per atom
- N(E_F): 10.07 states/eV/cell

a b c (Å): 18.914 4.348 8.703
angles (deg): 90.00 102.95 90.00
Space group C2/m (No. 12)
One atom of each set of equivalent atoms:
Sm1 0.001 0.000 0.234 [4 per cell]
Sm2 0.164 0.500 0.090 [4 per cell]
Sm3 0.171 0.500 0.579 [4 per cell]
Te1 0.000 0.500 0.500 [2 per cell]
Pb1 0.167 0.000 0.833 [4 per cell]
Se1 0.000 0.500 0.000 [2 per cell]
Se2 0.165 0.000 0.335 [4 per cell]

Entry 10:
# Sm6TePb3Se2

Crystalline Sm6TePb3Se2 at its relaxed geometry (GGA-PBE, Alexandria via LeMat-Bulk).

Calculated values
- Uncorrected energy: -5.228 eV per atom
- N(E_F): 8.93 states/eV/cell

a b c (Å): 19.236 4.404 8.845
angles (deg): 90.00 103.77 90.00
Space group C2/m (No. 12)
One atom of each set of equivalent atoms:
Sm1 0.005 0.000 0.256 [4 per cell]
Sm2 0.170 0.500 0.091 [4 per cell]
Sm3 0.170 0.500 0.577 [4 per cell]
Te1 0.000 0.500 0.000 [2 per cell]
Pb1 0.000 0.500 0.500 [2 per cell]
Pb2 0.164 0.000 0.830 [4 per cell]
Se1 0.168 0.000 0.334 [4 per cell]